Here is a relaxed K2TiMnF crystal from the Alexandria database. Energies are from GGA+U.

## Properties
Electronic total energy ... -20.17 eV for the cell shown
Calculated volume ... 137 Å³/cell

a b c (Å): 4.954 5.593 4.954
angles (deg): 90.00 90.00 90.00
Last column: magnetic moment on the atom in μB.
Fractional coordinates of all 5 atoms:
Mn1 0.500 0.500 0.500  4.61
Ti1 0.000 0.500 0.000  -1.99
K1 0.500 0.000 0.000  -0.02
K2 0.000 0.000 0.500  -0.01
F1 0.000 0.000 0.000  -0.01